Entry from Alexandria via LeMat-Bulk: a geometry-optimized AlFe structure (PBEsol).

Cell lengths 2.8864, 4.7444, 5.7981 Å; angles 107.24, 90.00, 107.71 degrees
Site moments in Bohr magnetons follow the coordinates.
Fractional coordinates of all 6 atoms:
Al1 0.0441 0.0881 0.0476  -0.02
Al2 0.3577 0.7153 0.2393  -0.03
Al3 0.3435 0.6870 0.6921  -0.03
Fe1 0.7103 0.4207 0.8925  0.65
Fe2 0.0361 0.0722 0.5777  2.15
Fe3 0.6750 0.3501 0.3841  0.79

Results
- DOS(E_F): 5.07 states/eV per cell
- Crystal system: monoclinic
- Formation energy from the elements: -0.25 eV per atom
- Symmetry: No. 8
- Calculated total energy: -6.77 eV per atom

---

Entry from Alexandria via LeMat-Bulk: a geometry-optimized Al5Fe structure (PBEsol).

Cell lengths 2.8783, 4.3442, 7.0262 Å; angles 90.00, 101.82, 90.00 degrees
Fractional coordinates of all 6 atoms:
Al1 0.3354 0.0000 0.6708
Al2 0.4598 0.5000 0.9196
Al3 0.0029 0.0000 0.0058
Al4 0.6600 0.0000 0.3200
Al5 0.7659 0.5000 0.5318
Fe1 0.1093 0.5000 0.2186

Results
- DOS(E_F): 2.92 states/eV per cell
- Crystal system: orthorhombic
- Formation energy from the elements: -0.05 eV per atom
- Symmetry: No. 38
- Calculated total energy: -4.95 eV per atom

---

Entry from Alexandria via LeMat-Bulk: a geometry-optimized AlFe5 structure (PBEsol).

Cell lengths 2.8030, 2.8030, 8.4264 Å; angles 90.00, 90.00, 90.00 degrees
Site moments in Bohr magnetons follow the coordinates.
Fractional coordinates of all 6 atoms:
Fe1 0.0000 0.0000 0.1801  1.42
Fe2 0.0000 0.0000 0.5000  2.21
Fe3 0.0000 0.0000 0.8199  1.42
Fe4 0.5000 0.5000 0.3347  2.09
Fe5 0.5000 0.5000 0.6653  2.09
Al1 0.5000 0.5000 0.0000  -0.04

Results
- DOS(E_F): 7.36 states/eV per cell
- Crystal system: tetragonal
- Offset from the most stable computed form: 24 meV/atom
- Formation energy from the elements: -0.08 eV per atom
- Symmetry: No. 123
- Calculated total energy: -8.23 eV per atom

---

Entry from Alexandria via LeMat-Bulk: a geometry-optimized AlFe structure (PBEsol).

Cell lengths 3.9440, 3.9440, 4.1585 Å; angles 90.00, 90.00, 120.00 degrees
Fractional coordinates of all 4 atoms:
Fe1 0.0000 0.0000 0.0000
Fe2 0.0000 0.0000 0.5000
Al1 0.3333 0.6667 0.2500
Al2 0.6667 0.3333 0.7500

Results
- DOS(E_F): 3.74 states/eV per cell
- Crystal system: hexagonal
- Formation energy from the elements: 0.24 eV per atom
- Symmetry: No. 194
- Calculated total energy: -6.28 eV per atom

---

Entry from Alexandria via LeMat-Bulk: a geometry-optimized Al2Fe structure (PBEsol).

Cell lengths 2.6152, 4.1245, 4.1245 Å; angles 90.00, 90.00, 90.00 degrees
Site moments in Bohr magnetons follow the coordinates.
Fractional coordinates of all 3 atoms:
Fe1 0.5000 0.0000 0.0000  0.77
Al1 0.0000 0.5000 0.0000  -0.02
Al2 0.0000 0.0000 0.5000  -0.02

Results
- DOS(E_F): 1.90 states/eV per cell
- Crystal system: tetragonal
- Formation energy from the elements: -0.29 eV per atom
- Symmetry: No. 123
- Calculated total energy: -6.00 eV per atom

---

Entry from Alexandria via LeMat-Bulk: a geometry-optimized AlFe2 structure (PBEsol).

Cell lengths 4.5902, 4.5902, 4.5902 Å; angles 106.39, 106.39, 115.82 degrees
Site moments in Bohr magnetons follow the coordinates.
Fractional coordinates of all 6 atoms:
Fe1 0.8537 0.6463 0.5000  2.17
Fe2 0.1463 0.3537 0.5000  2.17
Fe3 0.6463 0.1463 0.7926  2.17
Fe4 0.3537 0.8537 0.2074  2.17
Al1 0.2500 0.2500 0.0000  -0.07
Al2 0.7500 0.7500 0.0000  -0.07

Results
- DOS(E_F): 4.36 states/eV per cell
- Crystal system: tetragonal
- Formation energy from the elements: 0.11 eV per atom
- Symmetry: No. 140
- Calculated total energy: -7.22 eV per atom

---

Entry from Alexandria via LeMat-Bulk: a geometry-optimized Al2Fe structure (PBEsol).

Cell lengths 7.6414, 7.6414, 7.6414 Å; angles 60.00, 60.00, 60.00 degrees
Fractional coordinates of all 24 atoms:
Al1 0.6250 0.1250 0.1250
Al2 0.2993 0.7007 0.7007
Al3 0.1250 0.6250 0.1250
Al4 0.9507 0.9507 0.5493
Al5 0.9507 0.5493 0.9507
Al6 0.2993 0.2993 0.7007
Al7 0.7007 0.7007 0.2993
Al8 0.9507 0.5493 0.5493
Al9 0.7007 0.2993 0.2993
Al10 0.1250 0.1250 0.6250
Al11 0.5493 0.5493 0.9507
Al12 0.1250 0.1250 0.1250
Al13 0.7007 0.2993 0.7007
Al14 0.2993 0.7007 0.2993
Al15 0.5493 0.9507 0.9507
Al16 0.5493 0.9507 0.5493
Fe1 0.2758 0.9081 0.9081
Fe2 0.3419 0.3419 0.3419
Fe3 0.9742 0.3419 0.3419
Fe4 0.9081 0.2758 0.9081
Fe5 0.9081 0.9081 0.2758
Fe6 0.3419 0.3419 0.9742
Fe7 0.3419 0.9742 0.3419
Fe8 0.9081 0.9081 0.9081

Results
- DOS(E_F): 13.18 states/eV per cell
- Crystal system: cubic
- Formation energy from the elements: -0.31 eV per atom
- Symmetry: No. 227
- Calculated total energy: -6.03 eV per atom

---

Entry from Alexandria via LeMat-Bulk: a geometry-optimized AlGaFe2 structure (PBEsol).

Cell lengths 4.0229, 4.0229, 4.0229 Å; angles 60.00, 60.00, 60.00 degrees
Site moments in Bohr magnetons follow the coordinates.
Fractional coordinates of all 4 atoms:
Ga1 0.5000 0.5000 0.5000  -0.03
Fe1 0.2500 0.2500 0.2500  0.71
Fe2 0.7500 0.7500 0.7500  0.71
Al1 0.0000 0.0000 0.0000  -0.03

Results
- DOS(E_F): 4.58 states/eV per cell
- Crystal system: cubic
- Formation energy from the elements: -0.24 eV per atom
- Symmetry: No. 225
- Calculated total energy: -6.58 eV per atom